No. 1
DFT (GGA-PBE) results for crystalline KZnGe2 at its relaxed geometry.

```
KZnGe2
1.0
4.265 0.000 0.000
2.132 3.693 0.000
2.132 1.231 6.619
K Ge Zn
1 2 1
direct
0.500 0.500 0.500
0.290 0.290 0.131
0.710 0.710 0.869
0.000 0.000 0.000
```

Computed properties:
Theoretical density in g/cm3: 4.0
Formation energy from the elements in meV per atom: 27



No. 2
DFT (GGA-PBE) results for crystalline KZn2Ge at its relaxed geometry.

```
KZn2Ge
1.0
-4.224 -2.981 1.274
0.122 -2.237 -4.831
3.051 -8.600 1.123
K Ge Zn
2 2 4
direct
0.500 0.500 0.000
0.250 0.750 0.500
0.000 0.000 0.000
0.750 0.250 0.500
0.874 0.125 0.250
0.876 0.625 0.250
0.375 0.126 0.750
0.875 0.124 0.750
```

Computed properties:
Theoretical density in g/cm3: 3.4
Formation energy from the elements in meV per atom: 77



No. 3
DFT (GGA-PBE) results for crystalline KZn2Ge2 at its relaxed geometry.

```
KZn2Ge2
1.0
8.351 0.000 0.000
0.000 8.351 0.000
0.000 0.000 2.989
K Ge Zn
2 4 4
direct
0.000 0.000 0.000
0.500 0.500 0.000
0.358 0.858 0.000
0.858 0.642 0.000
0.642 0.142 0.000
0.142 0.358 0.000
0.143 0.643 0.500
0.643 0.857 0.500
0.857 0.357 0.500
0.357 0.143 0.500
```

Computed properties:
ΔE to the lowest computed polymorph in meV/atom: 211.0
Theoretical density in g/cm3: 5.0
Formation energy from the elements in meV per atom: 115



No. 4
DFT (GGA-PBE) results for crystalline K2ZnGe2 at its relaxed geometry.

```
K2ZnGe2
1.0
6.858 0.000 0.000
0.000 6.858 0.000
0.000 0.000 5.701
K Ge Zn
4 4 2
direct
0.177 0.677 0.500
0.677 0.823 0.500
0.823 0.323 0.500
0.323 0.177 0.500
0.367 0.867 0.000
0.867 0.633 0.000
0.633 0.133 0.000
0.133 0.367 0.000
0.000 0.000 0.000
0.500 0.500 0.000
```

Computed properties:
Theoretical density in g/cm3: 3.6
Formation energy from the elements in meV per atom: 65



No. 5
DFT (GGA-PBE) results for crystalline KZn2Ge2 at its relaxed geometry.

```
KZn2Ge2
1.0
8.396 0.000 0.000
0.000 8.396 0.000
0.000 0.000 2.903
K Ge Zn
2 4 4
direct
0.000 0.000 0.000
0.500 0.500 0.000
0.157 0.657 0.500
0.657 0.843 0.500
0.843 0.343 0.500
0.343 0.157 0.500
0.370 0.870 0.000
0.870 0.630 0.000
0.630 0.130 0.000
0.130 0.370 0.000
```

Computed properties:
ΔE to the lowest computed polymorph in meV/atom: 196.7
Theoretical density in g/cm3: 5.1
Formation energy from the elements in meV per atom: 100



No. 6
DFT (GGA-PBE) results for crystalline KZn2Ge2 at its relaxed geometry.

```
KZn2Ge2
1.0
-1.591 -4.105 0.544
1.924 -0.217 3.991
-4.315 -0.123 4.539
K Ge Zn
1 2 2
direct
0.000 0.000 0.000
0.381 0.381 0.237
0.619 0.619 0.763
0.750 0.250 0.500
0.250 0.750 0.500
```

Computed properties:
ΔE to the lowest computed polymorph in meV/atom: 0.0
Theoretical density in g/cm3: 4.9
Formation energy from the elements in meV per atom: -96



No. 7
DFT (GGA-PBE) results for crystalline KZn4Ge4 at its relaxed geometry.

```
KZn4Ge4
1.0
-0.318 -2.266 6.042
6.449 -0.338 0.212
0.341 8.507 3.208
K Zn Ge
2 8 8
direct
0.000 0.000 0.000
0.500 0.500 0.500
0.216 0.500 0.830
0.784 0.500 0.830
0.500 0.784 0.170
0.500 0.216 0.170
0.000 0.716 0.330
0.000 0.284 0.330
0.284 0.000 0.670
0.716 0.000 0.670
0.500 0.788 0.880
0.500 0.212 0.880
0.788 0.500 0.120
0.212 0.500 0.120
0.288 0.000 0.380
0.712 0.000 0.380
0.000 0.288 0.620
0.000 0.712 0.620
```

Computed properties:
Theoretical density in g/cm3: 5.2
Formation energy from the elements in meV per atom: 69



No. 8
DFT (GGA-PBE) results for crystalline K2ZnGe at its relaxed geometry.

```
K2ZnGe
1.0
-4.551 7.903 -2.340
-0.232 -2.795 -8.988
-5.002 1.196 -5.174
K Ge Zn
4 2 2
direct
0.621 0.125 0.250
0.129 0.625 0.250
0.375 0.379 0.750
0.875 0.871 0.750
0.000 0.000 0.000
0.750 0.250 0.500
0.500 0.500 0.000
0.250 0.750 0.500
```

Computed properties:
Theoretical density in g/cm3: 2.7
Formation energy from the elements in meV per atom: 333



No. 9
DFT (GGA-PBE) results for crystalline KZnGe2 at its relaxed geometry.

```
KZnGe2
1.0
5.224 0.000 0.000
0.000 5.224 0.000
2.612 2.612 8.717
K Ge Zn
2 4 2
direct
0.500 0.500 0.000
0.250 0.750 0.500
0.875 0.125 0.250
0.875 0.625 0.250
0.375 0.125 0.750
0.875 0.125 0.750
0.000 0.000 0.000
0.750 0.250 0.500
```

Computed properties:
Theoretical density in g/cm3: 3.5
Formation energy from the elements in meV per atom: 109



No. 10
DFT (GGA-PBE) results for crystalline KZr2ZnGe at its relaxed geometry.

```
KZr2ZnGe
1.0
-2.497 -3.628 -2.672
4.682 -0.676 -3.456
1.832 -3.608 3.188
K Ge Zn Zr
1 1 1 2
direct
0.000 0.500 0.000
0.000 0.000 0.000
0.500 0.500 0.500
0.000 0.000 0.500
0.500 0.000 0.000
```

Computed properties:
Theoretical density in g/cm3: 3.8
Formation energy from the elements in meV per atom: 679



No. 11
DFT (GGA-PBE) results for crystalline KZrGe2 at its relaxed geometry.

```
KZrGe2
1.0
0.000 3.563 3.563
3.563 0.000 3.563
3.563 3.563 0.000
Ge K Zr
2 1 1
direct
0.250 0.250 0.250
0.750 0.750 0.750
0.000 0.000 0.000
0.500 0.500 0.500
```

Computed properties:
ΔE to the lowest computed polymorph in meV/atom: 32.2
Theoretical density in g/cm3: 5.1
Formation energy from the elements in meV per atom: 237



No. 12
DFT (GGA-PBE) results for crystalline KZrGe2 at its relaxed geometry.

```
KZrGe2
1.0
-0.422 -5.538 1.302
3.429 -1.290 -4.373
8.516 -2.705 3.755
Ge K Zr
4 2 2
direct
0.810 0.125 0.250
0.940 0.625 0.250
0.375 0.190 0.750
0.875 0.060 0.750
0.500 0.500 0.000
0.250 0.750 0.500
0.000 0.000 0.000
0.750 0.250 0.500
```

Computed properties:
ΔE to the lowest computed polymorph in meV/atom: 0.0
Theoretical density in g/cm3: 3.2
Formation energy from the elements in meV per atom: 205



No. 13
DFT (GGA-PBE) results for crystalline KZrGe3 at its relaxed geometry.

```
KZrGe3
1.0
-3.704 -2.393 2.905
-0.182 -3.957 -3.492
3.759 -2.550 2.693
Ge K Zr
3 1 1
direct
0.000 0.500 0.000
0.000 0.000 0.500
0.500 0.000 0.000
0.500 0.500 0.500
0.000 0.000 0.000
```

Computed properties:
ΔE to the lowest computed polymorph in meV/atom: 0.0
Theoretical density in g/cm3: 3.9
Formation energy from the elements in meV per atom: 34



No. 14
DFT (GGA-PBE) results for crystalline K3ZrGe at its relaxed geometry.

```
K3ZrGe
1.0
-3.004 5.527 1.346
-2.194 -2.530 5.493
5.248 2.106 3.067
Ge K Zr
1 3 1
direct
0.000 0.000 0.000
0.000 0.500 0.000
0.000 0.000 0.500
0.500 0.000 0.000
0.500 0.500 0.500
```

Computed properties:
ΔE to the lowest computed polymorph in meV/atom: 0.0
Theoretical density in g/cm3: 1.8
Formation energy from the elements in meV per atom: 1109



No. 15
DFT (GGA-PBE) results for crystalline K3ZrGe at its relaxed geometry.

```
K3ZrGe
1.0
6.537 0.000 0.000
0.000 6.537 0.000
0.000 0.000 6.537
Ge K Zr
1 3 1
direct
0.500 0.500 0.500
0.000 0.500 0.000
0.000 0.000 0.500
0.500 0.000 0.000
0.000 0.000 0.000
```

Computed properties:
ΔE to the lowest computed polymorph in meV/atom: 344.0
Theoretical density in g/cm3: 1.7
Formation energy from the elements in meV per atom: 1453



No. 16
DFT (GGA-PBE) results for crystalline KZrGe3 at its relaxed geometry.

```
KZrGe3
1.0
-4.068 2.784 -1.394
-2.109 -0.777 4.604
2.291 4.230 1.763
Ge K Zr
3 1 1
direct
0.000 0.500 0.000
0.000 0.000 0.500
0.500 0.000 0.000
0.000 0.000 0.000
0.500 0.500 0.500
```

Computed properties:
ΔE to the lowest computed polymorph in meV/atom: 1484.3
Theoretical density in g/cm3: 4.3
Formation energy from the elements in meV per atom: 1518



No. 17
DFT (GGA-PBE) results for crystalline LaGe at its relaxed geometry.

```
LaGe
1.0
8.453 0.000 0.000
0.000 8.453 0.000
0.000 0.000 6.271
La Ge
8 8
direct
0.440 0.205 0.000
0.560 0.795 0.000
0.795 0.440 0.000
0.205 0.560 0.000
0.940 0.705 0.500
0.060 0.295 0.500
0.295 0.940 0.500
0.705 0.060 0.500
0.208 0.922 0.000
0.792 0.078 0.000
0.078 0.208 0.000
0.922 0.792 0.000
0.708 0.422 0.500
0.292 0.578 0.500
0.578 0.708 0.500
0.422 0.292 0.500
```

Computed properties:
Theoretical density in g/cm3: 6.3
Formation energy from the elements in meV per atom: -484



No. 18
DFT (GGA-PBE) results for crystalline LaGe at its relaxed geometry.

```
LaGe
1.0
8.937 0.000 0.000
0.000 8.937 0.000
0.000 0.000 8.937
La Ge
8 8
direct
0.298 0.298 0.298
0.298 0.702 0.702
0.702 0.298 0.702
0.702 0.702 0.298
0.798 0.798 0.798
0.798 0.202 0.202
0.202 0.798 0.202
0.202 0.202 0.798
0.110 0.110 0.110
0.110 0.890 0.890
0.890 0.110 0.890
0.890 0.890 0.110
0.610 0.610 0.610
0.610 0.390 0.390
0.390 0.610 0.390
0.390 0.390 0.610
```

Computed properties:
Theoretical density in g/cm3: 3.9
Formation energy from the elements in meV per atom: -7



No. 19
DFT (GGA-PBE) results for crystalline La2Ge at its relaxed geometry.

```
La2Ge
1.0
4.110 0.002 0.000
0.002 4.110 0.000
-2.055 -2.055 4.956
Ge La
1 2
direct
0.500 0.500 0.000
0.150 0.150 0.300
0.850 0.850 0.700
```

Computed properties:
Theoretical density in g/cm3: 7.0
Formation energy from the elements in meV per atom: -537



No. 20
DFT (GGA-PBE) results for crystalline La3Ge2 at its relaxed geometry.

```
La3Ge2
1.0
4.707 0.000 0.000
-2.353 9.199 0.095
0.000 -1.990 11.314
La Ge
9 6
direct
0.822 0.644 0.036
0.178 0.356 0.964
0.791 0.582 0.366
0.209 0.418 0.634
0.130 0.261 0.288
0.870 0.739 0.712
0.469 0.939 0.350
0.531 0.061 0.650
0.500 0.000 0.000
0.647 0.293 0.482
0.353 0.707 0.518
0.667 0.334 0.132
0.333 0.666 0.868
0.966 0.933 0.187
0.034 0.067 0.813
```

Computed properties:
Theoretical density in g/cm3: 5.7
Formation energy from the elements in meV per atom: -653



No. 21
DFT (GGA-PBE) results for crystalline La4Ge7 at its relaxed geometry.

```
La4Ge7
1.0
-2.298 6.714 3.189
-1.899 -3.721 -6.563
-9.019 -5.921 5.967
La Ge
8 14
direct
0.992 0.481 0.381
0.008 0.519 0.881
0.519 0.008 0.119
0.481 0.992 0.619
0.496 0.504 0.250
0.504 0.496 0.750
0.010 0.010 0.000
0.990 0.990 0.500
0.934 0.066 0.250
0.066 0.934 0.750
0.075 0.419 0.128
0.925 0.581 0.628
0.581 0.925 0.372
0.419 0.075 0.872
0.972 0.669 0.160
0.028 0.331 0.660
0.331 0.028 0.340
0.669 0.972 0.840
0.602 0.428 0.010
0.398 0.572 0.510
0.572 0.398 0.490
0.428 0.602 0.990
```

Computed properties:
Theoretical density in g/cm3: 6.5
Formation energy from the elements in meV per atom: -765



No. 22
DFT (GGA-PBE) results for crystalline LaGe4 at its relaxed geometry.

```
LaGe4
1.0
-0.755 -0.803 5.451
-5.341 -1.243 -0.923
1.352 -5.360 -0.602
Ge La
4 1
direct
0.000 0.000 0.000
0.500 0.000 0.500
0.000 0.500 0.500
0.500 0.500 0.000
0.500 0.500 0.500
```

Computed properties:
Theoretical density in g/cm3: 4.1
Formation energy from the elements in meV per atom: 1059



No. 23
DFT (GGA-PBE) results for crystalline LaGe at its relaxed geometry.

```
LaGe
1.0
10.252 0.000 0.000
0.000 10.252 0.000
0.000 0.000 6.076
La Ge
8 8
direct
0.881 0.383 0.500
0.119 0.617 0.500
0.617 0.881 0.500
0.383 0.119 0.500
0.806 0.697 0.000
0.194 0.303 0.000
0.303 0.806 0.000
0.697 0.194 0.000
0.825 0.677 0.500
0.175 0.323 0.500
0.323 0.825 0.500
0.677 0.175 0.500
0.912 0.414 0.000
0.088 0.586 0.000
0.586 0.912 0.000
0.414 0.088 0.000
```

Computed properties:
Theoretical density in g/cm3: 4.4
Formation energy from the elements in meV per atom: -381